Record 1
# PBE DyTm5Sc4, optimized geometry
data_DyTm5Sc4
_cell_length_a 9.952
_cell_length_b 11.123
_cell_length_c 5.351
_cell_angle_alpha 90.00
_cell_angle_beta 90.00
_cell_angle_gamma 90.00
_space_group_name_H-M_alt 'P m m n'
_space_group_IT_number 59
loop_
_space_group_symop_operation_xyz
'x,y,z'
'-x,-y,-z'
'-x+1/2,-y+1/2,z'
'x+1/2,y+1/2,-z'
'x+1/2,-y,-z'
'-x+1/2,y,z'
'-x,y+1/2,-z'
'x,-y+1/2,z'
loop_
_atom_site_label
_atom_site_type_symbol
_atom_site_fract_x
_atom_site_fract_y
_atom_site_fract_z
Dy1 Dy 0.250 0.250 0.250
Tm1 Tm 0.053 0.049 0.250
Tm2 Tm 0.250 0.750 0.749
Sc1 Sc 0.003 0.250 0.751
Sc2 Sc 0.250 0.059 0.750
# VASP energy = -4.931 eV per atom
# energy above the most stable polymorph in this dataset = 0.0 meV/atom
# crystal system = orthorhombic
# energy of formation = 0.30 eV per atom

---

Record 2
# PBE RbLiTlS2, optimized geometry
data_RbLiTlS2
_cell_length_a 13.234
_cell_length_b 5.032
_cell_length_c 8.995
_cell_angle_alpha 90.00
_cell_angle_beta 100.22
_cell_angle_gamma 90.00
_space_group_name_H-M_alt 'C 1 2/m 1'
_space_group_IT_number 12
loop_
_space_group_symop_operation_xyz
'x,y,z'
'-x,-y,-z'
'-x,y,-z'
'x,-y,z'
'x+1/2,y+1/2,z'
'-x+1/2,-y+1/2,-z'
'-x+1/2,y+1/2,-z'
'x+1/2,-y+1/2,z'
loop_
_atom_site_label
_atom_site_type_symbol
_atom_site_fract_x
_atom_site_fract_y
_atom_site_fract_z
Rb1 Rb 0.156 0.000 0.173
Li1 Li 0.173 0.000 0.559
Tl1 Tl 0.056 0.500 0.711
S1 S 0.104 0.000 0.797
S2 S 0.141 0.500 0.442
# VASP energy = -3.517 eV per atom
# crystal system = monoclinic

---

Record 3
# PBE NiAu3, optimized geometry
data_NiAu3
_cell_length_a 6.413
_cell_length_b 6.413
_cell_length_c 6.413
_cell_angle_alpha 90.00
_cell_angle_beta 90.00
_cell_angle_gamma 90.00
_space_group_name_H-M_alt 'F m -3 m'
_space_group_IT_number 225
_space_group_name_Hall '-F 4 2 3'
loop_
_atom_site_label
_atom_site_type_symbol
_atom_site_fract_x
_atom_site_fract_y
_atom_site_fract_z
Ni1 Ni 0.000 0.000 0.000
Au1 Au 0.000 0.000 0.500
Au2 Au 0.250 0.250 0.250
# VASP energy = -3.779 eV per atom
# crystal system = cubic
# energy of formation = 0.12 eV per atom

---

Record 4
# PBE YAl, optimized geometry
data_YAl
_cell_length_a 3.386
_cell_length_b 3.386
_cell_length_c 8.387
_cell_angle_alpha 90.00
_cell_angle_beta 90.00
_cell_angle_gamma 90.00
_space_group_name_H-M_alt 'P 4/n m m'
_space_group_IT_number 129
loop_
_space_group_symop_operation_xyz
'x,y,z'
'-x,-y,-z'
'-y+1/2,x,z'
'y+1/2,-x,-z'
'-x+1/2,-y+1/2,z'
'x+1/2,y+1/2,-z'
'y,-x+1/2,z'
'-y,x+1/2,-z'
'x+1/2,-y,-z'
'-x+1/2,y,z'
'-y,-x,-z'
'y,x,z'
'-x,y+1/2,-z'
'x,-y+1/2,z'
'y+1/2,x+1/2,-z'
'-y+1/2,-x+1/2,z'
loop_
_atom_site_label
_atom_site_type_symbol
_atom_site_fract_x
_atom_site_fract_y
_atom_site_fract_z
Y1 Y 0.250 0.250 0.167
Al1 Al 0.250 0.250 0.585
# VASP energy = -5.320 eV per atom
# crystal system = tetragonal
# energy of formation = -0.22 eV per atom

---

Record 5
# PBE MgNbGe2O8, optimized geometry
data_MgNbGe2O8
_cell_length_a 6.616
_cell_length_b 6.616
_cell_length_c 6.327
_cell_angle_alpha 90.00
_cell_angle_beta 90.00
_cell_angle_gamma 90.00
_space_group_name_H-M_alt 'I -4 m 2'
_space_group_IT_number 119
_space_group_name_Hall 'I -4 -2'
loop_
_atom_site_label
_atom_site_type_symbol
_atom_site_fract_x
_atom_site_fract_y
_atom_site_fract_z
Mg1 Mg 0.000 0.000 0.000
Nb1 Nb 0.000 0.500 0.750
Ge1 Ge 0.000 0.000 0.500
Ge2 Ge 0.000 0.500 0.250
O1 O 0.000 0.201 0.681
O2 O 0.000 0.311 0.050
# VASP energy = -6.894 eV per atom
# crystal system = tetragonal

---

Record 6
# PBE Mg6GaHg6, optimized geometry
data_Mg6GaHg6
_cell_length_a 6.1989
_cell_length_b 6.1989
_cell_length_c 9.3113
_cell_angle_alpha 90.00
_cell_angle_beta 90.00
_cell_angle_gamma 120.00
_space_group_name_H-M_alt 'P 6/m m m'
_space_group_IT_number 191
_space_group_name_Hall '-P 6 2'
loop_
_atom_site_label
_atom_site_type_symbol
_atom_site_fract_x
_atom_site_fract_y
_atom_site_fract_z
Mg1 Mg 0.0000 0.0000 0.1771
Mg2 Mg 0.3333 0.6667 0.0000
Mg3 Mg 0.3333 0.6667 0.5000
Ga1 Ga 0.0000 0.0000 0.5000
Hg1 Hg 0.0000 0.5000 0.2494
# VASP energy = -1.148 eV per atom
# crystal system = hexagonal
# energy of formation = -0.04 eV per atom

---

Record 7
# PBE TaNb5Re6, optimized geometry
data_TaNb5Re6
_cell_length_a 7.848
_cell_length_b 13.571
_cell_length_c 4.534
_cell_angle_alpha 90.00
_cell_angle_beta 125.16
_cell_angle_gamma 90.00
_space_group_name_H-M_alt 'C 1 2/m 1'
_space_group_IT_number 12
loop_
_space_group_symop_operation_xyz
'x,y,z'
'-x,-y,-z'
'-x,y,-z'
'x,-y,z'
'x+1/2,y+1/2,z'
'-x+1/2,-y+1/2,-z'
'-x+1/2,y+1/2,-z'
'x+1/2,-y+1/2,z'
loop_
_atom_site_label
_atom_site_type_symbol
_atom_site_fract_x
_atom_site_fract_y
_atom_site_fract_z
Ta1 Ta 0.000 0.000 0.000
Nb1 Nb 0.000 0.166 0.500
Nb2 Nb 0.000 0.333 0.000
Nb3 Nb 0.000 0.500 0.500
Re1 Re 0.250 0.000 0.750
Re2 Re 0.250 0.167 0.250
# VASP energy = -11.707 eV per atom
# crystal system = monoclinic
# energy of formation = -0.30 eV per atom

---

Record 8
# PBE NaTbPmAl, optimized geometry
data_NaTbPmAl
_cell_length_a 7.574
_cell_length_b 7.574
_cell_length_c 7.574
_cell_angle_alpha 90.00
_cell_angle_beta 90.00
_cell_angle_gamma 90.00
_space_group_name_H-M_alt 'F -4 3 m'
_space_group_IT_number 216
_space_group_name_Hall 'F -4 2 3'
loop_
_atom_site_label
_atom_site_type_symbol
_atom_site_fract_x
_atom_site_fract_y
_atom_site_fract_z
Na1 Na 0.000 0.000 0.000
Tb1 Tb 0.250 0.250 0.250
Pm1 Pm 0.250 0.250 0.750
Al1 Al 0.000 0.000 0.500
# VASP energy = -3.657 eV per atom
# crystal system = cubic
# energy of formation = -0.05 eV per atom

---

Record 9
# PBE PtRhBr, optimized geometry
data_PtRhBr
_cell_length_a 2.901
_cell_length_b 5.236
_cell_length_c 13.808
_cell_angle_alpha 90.00
_cell_angle_beta 90.00
_cell_angle_gamma 90.00
_space_group_name_H-M_alt 'F m m 2'
_space_group_IT_number 42
_space_group_name_Hall 'F 2 -2'
loop_
_atom_site_label
_atom_site_type_symbol
_atom_site_fract_x
_atom_site_fract_y
_atom_site_fract_z
Pt1 Pt 0.000 0.000 0.000
Rh1 Rh 0.000 0.000 0.339
Br1 Br 0.000 0.000 0.686
# VASP energy = -4.464 eV per atom
# energy above the most stable polymorph in this dataset = 196.5 meV/atom
# crystal system = orthorhombic

---

Record 10
# PBE GaAg4Hg, optimized geometry
data_GaAg4Hg
_cell_length_a 5.651
_cell_length_b 6.057
_cell_length_c 7.570
_cell_angle_alpha 67.45
_cell_angle_beta 70.90
_cell_angle_gamma 74.74
_space_group_name_H-M_alt 'P -1'
_space_group_IT_number 2
loop_
_space_group_symop_operation_xyz
'x,y,z'
'-x,-y,-z'
loop_
_atom_site_label
_atom_site_type_symbol
_atom_site_fract_x
_atom_site_fract_y
_atom_site_fract_z
Ga1 Ga 0.115 0.241 0.142
Ag1 Ag 0.104 0.774 0.137
Ag2 Ag 0.212 0.560 0.532
Ag3 Ag 0.217 0.057 0.529
Ag4 Ag 0.446 0.116 0.804
Hg1 Hg 0.453 0.614 0.796
# VASP energy = -2.416 eV per atom
# energy above the most stable polymorph in this dataset = 0.0 meV/atom
# crystal system = triclinic
# energy of formation = 0.04 eV per atom